(1)
The following is a DFT calculation (PBE-GGA) of a relaxed NpCuNiH6 crystal.

abc: 4.3638 4.3638 4.2525
angles: 90.00 90.00 120.00
Atoms (fractional coordinates):
1 Np 0.0000 0.0000 0.0000
2 Cu 0.3333 0.6667 0.5000
3 Ni 0.6667 0.3333 0.5000
4 H 0.5068 0.0137 0.2350
5 H 0.5068 0.0137 0.7650
6 H 0.5068 0.4932 0.2350
7 H 0.5068 0.4932 0.7650
8 H 0.9863 0.4932 0.2350
9 H 0.9863 0.4932 0.7650

Space group ... P-6m2
Uncorrected energy ... -4.86 eV/atom


(2)
The following is a DFT calculation (PBE-GGA) of a relaxed NpCuNi2H8 crystal.

abc: 5.9607 5.9607 5.9607
angles: 43.15 43.15 43.15
Atoms (fractional coordinates):
1 Np 0.0000 0.0000 0.0000
2 Cu 0.5000 0.5000 0.5000
3 Ni 0.2022 0.2022 0.2022
4 Ni 0.7978 0.7978 0.7978
5 H 0.1315 0.8205 0.3948
6 H 0.1795 0.6052 0.8685
7 H 0.3055 0.3055 0.3055
8 H 0.3948 0.1315 0.8205
9 H 0.6052 0.8685 0.1795
10 H 0.6945 0.6945 0.6945
11 H 0.8205 0.3948 0.1315
12 H 0.8685 0.1795 0.6052

Space group ... R-3
Uncorrected energy ... -4.60 eV/atom


(3)
The following is a DFT calculation (PBE-GGA) of a relaxed CuNiH6Pb crystal.

abc: 4.5718 4.6232 4.5879
angles: 90.00 119.87 90.00
Atoms (fractional coordinates):
1 Cu 0.0000 0.0000 0.0000
2 Ni 0.3328 0.0000 0.6649
3 H 0.2047 0.2190 0.3537
4 H 0.2047 0.7810 0.3537
5 H 0.2117 0.2184 0.8562
6 H 0.2117 0.7816 0.8562
7 H 0.6483 0.2169 0.8270
8 H 0.6483 0.7831 0.8270
9 Pb 0.7851 0.5000 0.4068

Space group ... Pm
Uncorrected energy ... -3.62 eV/atom


(4)
The following is a DFT calculation (PBE-GGA) of a relaxed CuNiH4Pd2 crystal.

abc: 4.8517 2.8253 5.0473
angles: 90.00 112.52 90.00
Atoms (fractional coordinates):
1 Cu 0.0000 0.0000 0.0000
2 Ni 0.0000 0.5000 0.5000
3 H 0.2220 0.5000 0.2992
4 H 0.2331 0.0000 0.7174
5 H 0.7669 0.0000 0.2826
6 H 0.7780 0.5000 0.7008
7 Pd 0.5000 0.0000 0.5000
8 Pd 0.5000 0.5000 0.0000

Space group ... P2/m
Uncorrected energy ... -4.22 eV/atom


(5)
The following is a DFT calculation (PBE-GGA) of a relaxed Cu2NiH6Pd crystal.

abc: 4.4118 4.5086 4.7495
angles: 73.79 63.95 61.41
Atoms (fractional coordinates):
1 Cu 0.0000 0.0000 0.0000
2 Cu 0.1749 0.3048 0.3026
3 Ni 0.6555 0.6594 0.0251
4 H 0.0178 0.3927 0.7433
5 H 0.2502 0.9076 0.2469
6 H 0.4571 0.7306 0.7814
7 H 0.5822 0.3173 0.2697
8 H 0.7953 0.9450 0.7778
9 H 0.8215 0.6920 0.2508
10 Pd 0.4757 0.3623 0.6759

Space group ... P1
Uncorrected energy ... -3.86 eV/atom


(6)
The following is a DFT calculation (PBE-GGA) of a relaxed CuNiH3Pd crystal.

abc: 4.2895 2.8113 7.5430
angles: 90.00 90.03 90.00
Atoms (fractional coordinates):
1 Cu 0.2503 0.2500 0.2490
2 Cu 0.7497 0.7500 0.7510
3 Ni 0.2500 0.7500 0.9457
4 Ni 0.7500 0.2500 0.0543
5 H 0.0204 0.2500 0.8823
6 H 0.2486 0.7500 0.4454
7 H 0.4794 0.2500 0.8820
8 H 0.5206 0.7500 0.1180
9 H 0.7514 0.2500 0.5546
10 H 0.9796 0.7500 0.1177
11 Pd 0.2498 0.2500 0.6072
12 Pd 0.7502 0.7500 0.3928

Space group ... P2_1/m
Uncorrected energy ... -4.20 eV/atom